Arrangement 1

! PBE FeIrOs2, optimized geometry; values from VASP
&SYSTEM
  ibrav = 0, nat = 4, ntyp = 3
/
ATOMIC_SPECIES
Fe 55.84 Fe.upf
Os 190.23 Os.upf
Ir 192.22 Ir.upf
CELL_PARAMETERS angstrom
-0.522 -4.193 -3.073
-2.529 -4.225 1.747
-0.085 5.086 -1.195
ATOMIC_POSITIONS crystal
Fe 0.497 0.497 0.000
Os 0.273 0.773 0.500
Os 0.006 0.006 0.000
Ir 0.724 0.224 0.500
! density: 18.7 g cm⁻³
! symmetry: Imm2
! DOS at the Fermi energy: 0.989 states/eV/atom

---

Arrangement 2

! PBE FeIrOs2, optimized geometry; values from VASP
&SYSTEM
  ibrav = 0, nat = 4, ntyp = 3
/
ATOMIC_SPECIES
Ir 192.22 Ir.upf
Os 190.23 Os.upf
Fe 55.84 Fe.upf
CELL_PARAMETERS angstrom
-0.152 0.350 -4.642
-2.119 -1.357 -3.920
-3.122 3.420 -0.416
ATOMIC_POSITIONS crystal
Ir 0.250 0.250 0.258
Os 0.000 0.000 0.990
Os 0.750 0.750 0.752
Fe 0.500 0.500 0.500
! density: 18.9 g cm⁻³
! symmetry: Cm
! DOS at the Fermi energy: 1.080 states/eV/atom

---

Arrangement 3

! PBE FeIrOs2, optimized geometry; values from VASP
&SYSTEM
  ibrav = 0, nat = 4, ntyp = 3
/
ATOMIC_SPECIES
Os 190.23 Os.upf
Fe 55.84 Fe.upf
Ir 192.22 Ir.upf
CELL_PARAMETERS angstrom
8.858 0.002 0.001
8.443 2.680 0.001
8.443 1.308 2.338
ATOMIC_POSITIONS crystal
Os 0.502 0.502 0.502
Os 0.998 0.998 0.998
Fe 0.250 0.250 0.250
Ir 0.750 0.750 0.750
! density: 18.8 g cm⁻³
! symmetry: R-3m
! DOS at the Fermi energy: 1.039 states/eV/atom

---

Stability check: which of them is least stable? arrangement 1.

---

Arrangement 1

! PBE FeIrOs2, optimized geometry; values from VASP
&SYSTEM
  ibrav = 0, nat = 4, ntyp = 3
/
ATOMIC_SPECIES
Fe 55.84 Fe.upf
Os 190.23 Os.upf
Ir 192.22 Ir.upf
CELL_PARAMETERS angstrom
-0.867 -5.070 -1.359
3.971 -3.510 -0.459
-2.816 3.395 2.974
ATOMIC_POSITIONS crystal
Fe 0.250 0.750 0.500
Os 0.031 0.031 0.000
Os 0.469 0.469 0.000
Ir 0.750 0.250 0.500
! density: 18.6 g cm⁻³
! symmetry: Immm
! DOS at the Fermi energy: 0.907 states/eV/atom

---

Arrangement 2

! PBE FeIrOs2, optimized geometry; values from VASP
&SYSTEM
  ibrav = 0, nat = 4, ntyp = 3
/
ATOMIC_SPECIES
Ir 192.22 Ir.upf
Os 190.23 Os.upf
Fe 55.84 Fe.upf
CELL_PARAMETERS angstrom
4.655 0.006 -0.002
-1.582 4.378 -0.002
0.001 0.002 2.694
ATOMIC_POSITIONS crystal
Ir 0.000 0.500 0.500
Os 0.000 0.000 0.000
Os 0.500 0.500 0.000
Fe 0.500 0.000 0.500
! density: 19.0 g cm⁻³
! symmetry: Cmmm
! DOS at the Fermi energy: 1.256 states/eV/atom

---

Stability check: which of them is least stable? arrangement 1.